Entry A
Material: IrPt8
Method: DFT, PBE-GGA
State: relaxed

Values from the calculation:
- spin magnetization (μB/cell) = 0.001

```
data_IrPt8
_symmetry_space_group_name_H-M 'P 1'
_symmetry_Int_Tables_number 1
_symmetry_space_group_name_Hall 'P 1'
_cell_length_a 6.263
_cell_length_b 6.263
_cell_length_c 8.402
_cell_angle_alpha 47.88
_cell_angle_beta 47.88
_cell_angle_gamma 84.25
loop_
_atom_site_label
_atom_site_fract_x
_atom_site_fract_y
_atom_site_fract_z
Ir1 0.000 0.000 0.000
Pt1 0.000 0.000 0.332
Pt2 0.000 0.000 0.668
Pt3 0.332 0.668 0.000
Pt4 0.335 0.665 0.335
Pt5 0.335 0.665 0.665
Pt6 0.668 0.332 0.000
Pt7 0.665 0.335 0.335
Pt8 0.665 0.335 0.665
```

Entry B
Material: IrPt8
Method: DFT, PBE-GGA
State: relaxed

Values from the calculation:
- spin magnetization (μB/cell) = 0.000

```
data_IrPt8
_symmetry_space_group_name_H-M 'P 1'
_symmetry_Int_Tables_number 1
_symmetry_space_group_name_Hall 'P 1'
_cell_length_a 2.724
_cell_length_b 7.340
_cell_length_c 7.340
_cell_angle_alpha 88.03
_cell_angle_beta 79.31
_cell_angle_gamma 79.31
loop_
_atom_site_label
_atom_site_fract_x
_atom_site_fract_y
_atom_site_fract_z
Ir1 0.000 0.000 0.000
Pt1 0.665 0.000 0.670
Pt2 0.335 0.000 0.330
Pt3 0.000 0.333 0.667
Pt4 0.335 0.330 0.000
Pt5 0.667 0.333 0.333
Pt6 0.665 0.670 0.000
Pt7 0.000 0.667 0.333
Pt8 0.333 0.667 0.667
```

Question: of the structures shown, which is the most stable? Reply: entry A.